A relaxed ZrIr2Se crystal. Source: the Alexandria database, functional PBE.

abc: 5.7774 4.1471 6.1491
angles: 90.00 103.65 90.00
Closest atoms and distances in Å follow each position.
Space group Pm (No. 6)
Unique sites:
Zr (0.0000, 0.0000, 0.0000) [1 per cell]  4 Ir 2.75-2.88, 3 Se 2.77-2.83
Zr (0.4325, 0.5000, 0.8351) [1 per cell]  7 Ir 2.80-3.01, 2 Se 2.92
Ir (0.1586, 0.0000, 0.5906) [1 per cell]  5 Ir 2.61-2.86, 3 Zr 2.82-2.88, 2 Se 2.90
Ir (0.3534, 0.5000, 0.3677) [1 per cell]  3 Se 2.41-2.59
Ir (0.6166, 0.0000, 0.6156) [1 per cell]  5 Ir 2.60-2.80, 1 Se 2.62, 3 Zr 2.82-2.83
Ir (0.8960, 0.5000, 0.6988) [1 per cell]  1 Se 2.57, 4 Ir 2.60-2.74, 2 Zr 2.75
Se (0.4868, 0.0000, 0.1776) [1 per cell]  3 Ir 2.59-2.62, 1 Zr 2.77
Se (0.9239, 0.5000, 0.2874) [1 per cell]  2 Ir 2.41-2.57

Properties
Uncorrected energy in eV per cell: -63.6
V in Å³/cell: 143
Uncorrected formation energy in meV per atom: -506
Density in g/cm³: 12.87